RbLa2ReHg (GGA-PBE, optimized geometry); calculated formation energy = 2.07 eV/atom; final energy = -2.643 eV per atom; spin magnetization = 0.000 μB per atom
1.0
5.578 0.000 0.000
0.000 5.229 0.000
0.000 0.000 5.578
Rb Re Hg La
1 1 1 2
Cartesian
0.000 0.000 0.000
2.789 2.614 2.789
0.000 2.614 0.000
2.789 0.000 0.000
0.000 0.000 2.789